Compound: B3MoO
Source: Alexandria
Functional: GGA+U
Structure: optimized geometry

Summary:
The value obtained for the total energy is -0.3092 Ry/atom. As for the energy above the lowest structure with this stoichiometry: 0.972 eV/atom.

```
B3MoO
1.0
4.2496 0.0000 0.0000
0.0000 4.2496 0.0000
0.0000 0.0000 4.2496
B Mo O
3 1 1
direct
0.0000 0.0000 0.5000
0.0000 0.5000 0.0000
0.5000 0.0000 0.0000
0.0000 0.0000 0.0000
0.5000 0.5000 0.5000
```